5
Lattice="4.2466 0.0000 0.0000 -2.1233 3.6776 0.0000 0.0000 0.0000 5.2434" Properties=species:S:1:pos:R:3 comment="Al2GaPd2, optimized geometry, DFT GGA-PBE" crystal_system=trigonal polymorph_energy_mev_per_atom=0 e_tot_ev_per_cell=-24.300 dos_ef_per_ev_cell=1.535 pbc="T T T"
Al 0.0000 2.4518 1.8625
Al 2.1233 1.2259 3.3809
Ga 0.0000 0.0000 0.0000
Pd 0.0000 2.4518 4.3887
Pd 2.1233 1.2259 0.8547

---

4
Lattice="3.0765 0.0000 0.0000 0.0000 3.0765 0.0000 0.0000 0.0000 6.2342" Properties=species:S:1:pos:R:3 comment="AlGaPd2, optimized geometry, DFT GGA-PBE" crystal_system=tetragonal e_tot_ev_per_cell=-20.000 dos_ef_per_ev_cell=2.292 pbc="T T T"
Al 0.0000 0.0000 0.0000
Ga 0.0000 0.0000 3.1171
Pd 1.5383 1.5383 1.5181
Pd 1.5383 1.5383 4.7161

---

10
Lattice="7.2946 0.0000 0.0000 0.0000 7.2946 0.0000 0.0000 0.0000 2.9722" Properties=species:S:1:pos:R:3 comment="Al2GaPd2, optimized geometry, DFT GGA-PBE" crystal_system=tetragonal polymorph_energy_mev_per_atom=76 e_tot_ev_per_cell=-47.844 dos_ef_per_ev_cell=3.030 pbc="T T T"
Al 1.1025 2.5448 0.0000
Al 2.5448 6.1921 0.0000
Al 4.7498 1.1025 0.0000
Al 6.1921 4.7498 0.0000
Ga 0.0000 0.0000 1.4861
Ga 3.6473 3.6473 1.4861
Pd 1.0582 4.7055 1.4861
Pd 2.5892 1.0582 1.4861
Pd 4.7055 6.2365 1.4861
Pd 6.2365 2.5892 1.4861

---

19
Lattice="5.4683 3.1572 3.4563 -5.4683 3.1572 3.4563 0.0000 -6.3143 3.4563" Properties=species:S:1:pos:R:3 comment="Al6Ga12Pd, optimized geometry, DFT GGA-PBE" crystal_system=trigonal e_tot_ev_per_cell=-64.215 dos_ef_per_ev_cell=4.810 pbc="T T T"
Al -1.0761 -1.2035 2.0397
Al -0.5042 1.5337 2.0397
Al 1.5803 -0.3302 2.0397
Al -1.5803 0.3302 8.3292
Al 0.5042 -1.5337 8.3292
Al 1.0761 1.2035 8.3292
Ga -0.7761 -3.8135 2.8501
Ga -2.9145 2.5789 2.8501
Ga -1.7076 -1.8831 4.5522
Ga -3.6906 -1.2346 7.5188
Ga -2.4847 0.5373 5.8167
Ga -0.7770 2.4204 4.5522
Ga 0.7770 -2.4204 5.8167
Ga 2.4847 -0.5373 4.5522
Ga 3.6906 1.2346 2.8501
Ga 1.7076 1.8831 5.8167
Ga 2.9145 -2.5789 7.5188
Ga 0.7761 3.8135 7.5188
Pd 0.0000 0.0000 5.1845

---

| no. | ΔH_f (0 K) (kJ/mol of formula units) |
| --- | --- |
| 1 | -328 |
| 2 | -274 |
| 3 | -292 |
| 4 | -24 |